VASP calculation (GGA-PBE) on a relaxed structure of ZnCuAg2Os.

Structure (extended XYZ):
```
5
Lattice="-0.756 2.671 -3.694 -2.887 -2.918 -1.519 -3.390 2.174 2.265" Properties=species:S:1:pos:R:3 pbc="T T T"
Zn -1.444 -1.459 -0.760
Os -3.516 0.963 -1.474
Cu 0.000 0.000 0.000
Ag -1.695 1.087 1.133
Ag -0.378 1.335 -1.847
```

Results
Density of states at the Fermi level, states/eV/atom: 0.507
Magnetic moment, μB/f.u.: 1.4
Formation energy, eV/atom: 1.36
Calculated total energy, eV/atom: -3.105
E above lowest polymorph, meV per atom: 116

***

VASP calculation (GGA-PBE) on a relaxed structure of Li2YMg2.

Structure (extended XYZ):
```
5
Lattice="-2.078 0.869 -3.442 -1.469 -3.841 -0.083 -7.453 0.601 2.194" Properties=species:S:1:pos:R:3 pbc="T T T"
Y 0.000 0.000 0.000
Mg -2.960 -1.050 -0.936
Mg -8.040 -1.322 -0.395
Li -5.652 -0.009 -1.505
Li -5.348 -2.363 0.174
```

Results
Density of states at the Fermi level, states/eV/atom: 0.796
Magnetic moment, μB/f.u.: 0.1
Formation energy, eV/atom: 0.06
Calculated total energy, eV/atom: -2.635
E above lowest polymorph, meV per atom: 68

***

VASP calculation (GGA-PBE) on a relaxed structure of NdNp4Ni3S12.

Structure (extended XYZ):
```
20
Lattice="8.268 0.000 0.000 -2.756 7.795 0.000 -2.756 -3.898 6.751" Properties=species:S:1:pos:R:3 pbc="T T T"
Nd 0.000 0.000 0.000
Np 4.134 0.000 0.000
Np 1.378 1.949 3.375
Np -1.378 3.898 0.000
Np -1.378 -1.949 3.375
Ni -2.756 1.949 3.375
Ni 2.756 3.898 0.000
Ni 2.756 -1.949 3.375
S -0.183 5.976 1.112
S 2.939 -2.078 5.639
S 1.848 4.540 3.600
S 4.604 4.745 1.020
S 5.695 0.054 2.132
S -0.908 2.408 2.132
S 2.573 1.873 1.020
S -2.939 3.844 4.619
S 0.908 -0.642 3.151
S -1.848 -0.847 5.731
S 3.664 1.490 4.619
S 0.183 2.025 5.731
```

Results
Density of states at the Fermi level, states/eV/atom: 2.045
Magnetic moment, μB/f.u.: 13.1
Formation energy from raw total energies, eV/atom: -0.92
Calculated total energy, eV/atom: -7.092

***

Q: Which formula does entry 2 have?
A: Li2YMg2

***

Q: Which of these has the highest magnetic moment?
A: NdNp4Ni3S12